# 1
CaCuSb | SCAN | PBEsol geometry

abc: 4.4084 4.4084 8.0194
angles: 90.00 90.00 120.00
With the nearest neighbours (Å) after each atom.
Atoms (fractional coordinates):
Sb 0.3333 0.6667 0.2500  3 Cu 2.55
Sb 0.6667 0.3333 0.7500  3 Cu 2.55
Ca 0.0000 0.0000 0.0000  6 Sb 3.24, 6 Cu 3.24
Ca 0.0000 0.0000 0.5000  6 Sb 3.24, 6 Cu 3.24
Cu 0.3333 0.6667 0.7500  3 Sb 2.55
Cu 0.6667 0.3333 0.2500  3 Sb 2.55

Results
formation energy without anion corrections	-0.746	eV/atom


# 2
ZnAs2Pb | SCAN | PBEsol geometry

abc: 3.8554 4.1932 5.7400
angles: 110.40 90.00 90.00
With the nearest neighbours (Å) after each atom.
Atoms (fractional coordinates):
As 0.0000 0.2608 0.1885  1 As 2.48, 2 Zn 2.58
As 0.0000 0.7392 0.8115  1 As 2.48, 2 Zn 2.58
Pb 0.5000 0.0000 0.5000  2 Zn 2.90, 4 As 3.08
Zn 0.5000 0.5000 0.0000  4 As 2.58

Results
formation enthalpy at 0 K	0.11	eV per atom


# 3
Li3CaLa | SCAN | PBEsol geometry

abc: 5.3657 5.3657 5.3657
angles: 90.00 90.00 90.00
With the nearest neighbours (Å) after each atom.
Atoms (fractional coordinates):
Ca 0.0000 0.0000 0.0000  6 Li 2.68
Li 0.0000 0.5000 0.0000  2 Ca 2.68
Li 0.0000 0.0000 0.5000  2 Ca 2.68
Li 0.5000 0.0000 0.0000  2 Ca 2.68
La 0.5000 0.5000 0.5000  12 Li 3.79

Results
formation enthalpy at 0 K	0.56	eV per atom


# 4
ReCl | SCAN | PBEsol geometry

abc: 2.7689 2.7689 3.8293
angles: 90.00 90.00 90.00
With the nearest neighbours (Å) after each atom.
Atoms (fractional coordinates):
Re 0.5000 0.5000 0.5000  8 Cl 2.74, 4 Re 2.77
Cl 0.0000 0.0000 0.0000  8 Re 2.74, 4 Cl 2.77

Results
formation energy without anion corrections	1.909	eV/atom


# 5
LaMn2Fe | SCAN | PBEsol geometry

abc: 4.0336 4.0336 4.9555
angles: 114.02 114.02 90.00
With the nearest neighbours (Å) after each atom.
Atoms (fractional coordinates):
Fe 0.5000 0.5000 0.0000  8 Mn 2.85-2.86, 4 La 2.86
La 0.2500 0.7500 0.5000  8 Mn 2.85-2.86, 4 Fe 2.86
Mn 0.0000 0.0000 0.0000  4 Fe 2.85, 4 La 2.86, 4 Mn 2.86
Mn 0.7500 0.2500 0.5000  4 La 2.85, 4 Fe 2.86, 4 Mn 2.86

Results
formation enthalpy at 0 K	0.32	eV per atom


# 6
ZrAl2Sb2 | SCAN | PBEsol geometry

abc: 3.8834 7.4796 7.4796
angles: 90.00 90.00 90.00
With the nearest neighbours (Å) after each atom.
Atoms (fractional coordinates):
Sb 0.0000 0.3507 0.8507  6 Al 2.83-3.00, 2 Zr 2.85, 1 Sb 3.16
Sb 0.0000 0.8507 0.6493  6 Al 2.83-3.00, 2 Zr 2.85, 1 Sb 3.16
Sb 0.0000 0.6493 0.1493  6 Al 2.83-3.00, 2 Zr 2.85, 1 Sb 3.16
Sb 0.0000 0.1493 0.3507  6 Al 2.83-3.00, 2 Zr 2.85, 1 Sb 3.16
Al 0.5000 0.1556 0.6556  6 Sb 2.83-3.00
Al 0.5000 0.6556 0.8444  6 Sb 2.83-3.00
Al 0.5000 0.8444 0.3444  6 Sb 2.83-3.00
Al 0.5000 0.3444 0.1556  6 Sb 2.83-3.00
Zr 0.0000 0.0000 0.0000  4 Sb 2.85
Zr 0.0000 0.5000 0.5000  4 Sb 2.85

Results
formation energy without anion corrections	-0.033	eV/atom


# 7
TaBeTe | SCAN | PBEsol geometry

abc: 4.3965 4.3965 4.3965
angles: 60.00 60.00 60.00
With the nearest neighbours (Å) after each atom.
Atoms (fractional coordinates):
Be 0.0000 0.0000 0.0000  4 Te 2.69
Te 0.2500 0.2500 0.2500  4 Ta 2.69, 4 Be 2.69
Ta 0.5000 0.5000 0.5000  4 Te 2.69

Results
formation energy without anion corrections	1.036	eV/atom


# 8
K3Sb | SCAN | PBEsol geometry

abc: 3.8431 5.3607 8.0646
angles: 90.00 90.05 90.00
With the nearest neighbours (Å) after each atom.
Atoms (fractional coordinates):
K 0.9996 0.0000 0.8057  1 K 3.13
K 0.5000 0.5000 0.5000  10 K 3.84-4.12, 2 Sb 4.03
K 0.0004 0.0000 0.1943  1 K 3.13
Sb 0.5000 0.5000 0.0000  10 K 3.65-4.03, 2 Sb 3.84

Results
formation energy without anion corrections	-0.224	eV/atom


# 9
CdHgAu2 | SCAN | PBEsol geometry

abc: 4.4035 4.9176 4.4035
angles: 116.60 90.00 116.60
With the nearest neighbours (Å) after each atom.
Atoms (fractional coordinates):
Au 0.7500 0.5000 0.2500  4 Cd 2.91, 4 Hg 2.91, 4 Au 3.11
Au 0.2500 0.5000 0.7500  4 Cd 2.91, 4 Hg 2.91, 4 Au 3.11
Hg 0.5000 0.0000 0.5000  8 Au 2.91, 4 Cd 3.11
Cd 0.0000 0.0000 0.0000  8 Au 2.91, 4 Hg 3.11

Results
formation enthalpy at 0 K	-0.06	eV per atom


# 10
Sr2TePtCl | SCAN | PBEsol geometry

abc: 5.1764 6.0942 6.0942
angles: 90.00 90.00 90.00
With the nearest neighbours (Å) after each atom.
Atoms (fractional coordinates):
Sr 0.0000 0.0000 0.5000  2 Te 3.05
Sr 0.0000 0.5000 0.0000  2 Te 3.05
Te 0.0000 0.0000 0.0000  2 Cl 2.59
Pt 0.5000 0.5000 0.5000  8 Sr 4.00, 4 Cl 4.31
Cl 0.5000 0.0000 0.0000  2 Te 2.59

Results
formation energy without anion corrections	-0.340	eV/atom


# 11
MgBeRe2 | SCAN | PBEsol geometry

abc: 2.9865 2.9865 6.4035
angles: 90.00 90.00 90.00
With the nearest neighbours (Å) after each atom.
Atoms (fractional coordinates):
Re 0.0000 0.0000 0.0388  4 Re 2.56, 1 Be 2.70
Re 0.5000 0.5000 0.2653  4 Be 2.46, 4 Re 2.56
Mg 0.5000 0.5000 0.7348  4 Be 2.74, 5 Re 2.87-3.01, 4 Mg 2.99
Be 0.0000 0.0000 0.4610  5 Re 2.46-2.70, 4 Mg 2.74

Results
formation enthalpy at 0 K	-0.01	eV per atom


# 12
Zn2NiPb | SCAN | PBEsol geometry

abc: 3.9338 3.9338 4.1513
angles: 90.00 90.00 90.00
With the nearest neighbours (Å) after each atom.
Atoms (fractional coordinates):
Ni 0.5000 0.5000 0.5000  4 Pb 2.78, 8 Zn 2.86
Pb 0.0000 0.0000 0.5000  4 Ni 2.78, 8 Zn 2.86
Zn 0.0000 0.5000 0.0000  4 Zn 2.78, 4 Pb 2.86, 4 Ni 2.86
Zn 0.5000 0.0000 0.0000  4 Zn 2.78, 4 Pb 2.86, 4 Ni 2.86

Results
formation enthalpy at 0 K	0.28	eV per atom


Repeat the eighth record exactly.
K3Sb | SCAN | PBEsol geometry

abc: 3.8431 5.3607 8.0646
angles: 90.00 90.05 90.00
With the nearest neighbours (Å) after each atom.
Atoms (fractional coordinates):
K 0.9996 0.0000 0.8057  1 K 3.13
K 0.5000 0.5000 0.5000  10 K 3.84-4.12, 2 Sb 4.03
K 0.0004 0.0000 0.1943  1 K 3.13
Sb 0.5000 0.5000 0.0000  10 K 3.65-4.03, 2 Sb 3.84

Results
formation energy without anion corrections	-0.224	eV/atom